12
Lattice="4.166 0.000 0.000 0.000 4.166 0.000 0.000 0.000 12.227" Properties=species:S:1:pos:R:3 comment="PBE LiMg2Ag9, relaxed" formation_enthalpy_0k_ev_per_fu=-1.7 e_tot_ev_per_fu=-32.44 total_magnetization_mub_per_fu=0.0 pbc="T T T"
Li 0.000 0.000 0.000
Mg 0.000 0.000 4.045
Mg 0.000 0.000 8.182
Ag 0.000 2.083 1.987
Ag 0.000 2.083 6.113
Ag 0.000 2.083 10.240
Ag 2.083 0.000 1.987
Ag 2.083 0.000 6.113
Ag 2.083 0.000 10.240
Ag 2.083 2.083 0.000
Ag 2.083 2.083 4.050
Ag 2.083 2.083 8.177